Entry 1:
VASP calculation (GGA-PBE) on an optimized crystal structure of As2PdSeN.

a b c (Å): 4.3858 4.3858 4.2200
angles (deg): 90.00 90.00 90.00
Closest atoms and distances in Å follow each position.
Fractional coordinates of all 5 atoms:
1 As 0.0000 0.5000 0.0000  2 N 2.19
2 As 0.5000 0.0000 0.0000  2 N 2.19
3 Pd 0.0000 0.0000 0.5000  8 As 3.04, 4 Se 3.10
4 Se 0.5000 0.5000 0.5000  2 N 2.11
5 N 0.5000 0.5000 0.0000  2 Se 2.11, 4 As 2.19

Calculated values
Space-group type: P4/mmm (123)
Distance to the lowest polymorph of the same formula in kcal/mol of atoms: 0.00
Uncorrected formation energy in eV per atom: 0.7165
Theoretical density in g cm⁻³: 7.144
Magnetization in μB/f.u.: 0.00



Entry 2:
VASP calculation (GGA-PBE) on an optimized crystal structure of ReNi.

a b c (Å): 3.8156 3.8156 4.5275
angles (deg): 90.00 90.00 120.00
Closest atoms and distances in Å follow each position.
Fractional coordinates of all 4 atoms:
1 Re 0.3333 0.6667 0.2500  6 Ni 2.48
2 Re 0.6667 0.3333 0.7500  6 Ni 2.48
3 Ni 0.0000 0.0000 0.0000  2 Ni 2.26, 6 Re 2.48
4 Ni 0.0000 0.0000 0.5000  2 Ni 2.26, 6 Re 2.48

Calculated values
Space-group type: P6_3/mmc (194)
Formation energy from the elements in eV per atom: 0.914
Theoretical density in g cm⁻³: 14.248
Magnetization in μB/f.u.: 0.00



Entry 3:
VASP calculation (GGA-PBE) on an optimized crystal structure of RbReTc2Br.

a b c (Å): 4.6751 4.6751 5.6055
angles (deg): 90.00 90.00 90.00
Closest atoms and distances in Å follow each position.
Fractional coordinates of all 5 atoms:
1 Rb 0.0000 0.0000 0.0000  2 Br 2.80
2 Re 0.5000 0.5000 0.0000  4 Rb 3.31, 8 Tc 3.65
3 Tc 0.0000 0.5000 0.5000  2 Br 2.34
4 Tc 0.5000 0.0000 0.5000  2 Br 2.34
5 Br 0.0000 0.0000 0.5000  4 Tc 2.34

Calculated values
Space-group type: P4/mmm (123)
Uncorrected formation energy in eV per atom: 2.3958
Theoretical density in g cm⁻³: 7.422
Magnetization in μB/f.u.: 2.48